(1)
Ni2OsAu | PBE-GGA | relaxed

Structure (CIF):
```
data_Ni2OsAu
_chemical_formula_sum 'Ni2 Os1 Au1'
_cell_length_a 2.674
_cell_length_b 3.727
_cell_length_c 5.496
_cell_angle_alpha 90.00
_cell_angle_beta 90.00
_cell_angle_gamma 90.00
_symmetry_space_group_name_H-M 'P m m 2'
_symmetry_Int_Tables_number 25
loop_
_symmetry_equiv_pos_as_xyz
'x,y,z'
'-x,-y,z'
'-x,y,z'
'x,-y,z'
loop_
_atom_site_label
_atom_site_type_symbol
_atom_site_fract_x
_atom_site_fract_y
_atom_site_fract_z
Ni1 Ni 0.000 0.000 0.000
Ni2 Ni 0.500 0.500 0.240
Os1 Os 0.000 0.000 0.441
Au1 Au 0.500 0.500 0.746
```

Results
- polymorph energy (0 for the lowest one) (eV per formula unit) = 0.79

(2)
AlAsCl2 | PBE-GGA | relaxed

Structure (CIF):
```
data_AlAsCl2
_chemical_formula_sum 'Al1 As1 Cl2'
_cell_length_a 3.243
_cell_length_b 4.391
_cell_length_c 5.602
_cell_angle_alpha 90.00
_cell_angle_beta 90.00
_cell_angle_gamma 90.00
_symmetry_space_group_name_H-M 'P m m m'
_symmetry_Int_Tables_number 47
loop_
_symmetry_equiv_pos_as_xyz
'x,y,z'
'-x,-y,-z'
'-x,-y,z'
'x,y,-z'
'x,-y,-z'
'-x,y,z'
'-x,y,-z'
'x,-y,z'
loop_
_atom_site_label
_atom_site_type_symbol
_atom_site_fract_x
_atom_site_fract_y
_atom_site_fract_z
Al1 Al 0.000 0.000 0.000
As1 As 0.500 0.000 0.500
Cl1 Cl 0.000 0.500 0.500
Cl2 Cl 0.500 0.500 0.000
```

Results
- raw formation energy (eV per atom) = -0.06
- polymorph energy (0 for the lowest one) (eV per formula unit) = 2.25

(3)
NdYBiSe | PBE-GGA | relaxed

Structure (CIF):
```
data_NdYBiSe
_chemical_formula_sum 'Nd3 Y3 Bi3 Se3'
_cell_length_a 4.2868
_cell_length_b 4.2868
_cell_length_c 22.2310
_cell_angle_alpha 90.00
_cell_angle_beta 90.00
_cell_angle_gamma 120.00
_symmetry_space_group_name_H-M 'R 3 m'
_symmetry_Int_Tables_number 160
_symmetry_space_group_name_Hall 'R 3 -2"'
loop_
_atom_site_label
_atom_site_type_symbol
_atom_site_fract_x
_atom_site_fract_y
_atom_site_fract_z
Nd1 Nd 0.0000 0.0000 0.0000
Y1 Y 0.0000 0.0000 0.8174
Bi1 Bi 0.0000 0.0000 0.2395
Se1 Se 0.0000 0.0000 0.4151
```

Results
- raw formation energy (eV per atom) = -1.30

(4)
AcPr3S6 | PBE-GGA | relaxed

Structure (CIF):
```
data_AcPr3S6
_chemical_formula_sum 'Ac2 Pr6 S12'
_cell_length_a 11.534
_cell_length_b 4.214
_cell_length_c 11.851
_cell_angle_alpha 90.00
_cell_angle_beta 108.15
_cell_angle_gamma 90.00
_symmetry_space_group_name_H-M 'P 1 21/m 1'
_symmetry_Int_Tables_number 11
loop_
_symmetry_equiv_pos_as_xyz
'x,y,z'
'-x,-y,-z'
'-x,y+1/2,-z'
'x,-y+1/2,z'
loop_
_atom_site_label
_atom_site_type_symbol
_atom_site_fract_x
_atom_site_fract_y
_atom_site_fract_z
Ac1 Ac 0.051 0.250 0.193
Pr1 Pr 0.162 0.250 0.587
Pr2 Pr 0.320 0.750 0.996
Pr3 Pr 0.443 0.250 0.331
S1 S 0.083 0.750 0.405
S2 S 0.118 0.250 0.961
S3 S 0.194 0.750 0.748
S4 S 0.266 0.750 0.227
S5 S 0.397 0.250 0.558
S6 S 0.477 0.250 0.108
```

Results
- raw formation energy (eV per atom) = -2.08
- polymorph energy (0 for the lowest one) (eV per formula unit) = 0.00

(5)
CaTa2Al | PBE-GGA | relaxed

Structure (CIF):
```
data_CaTa2Al
_chemical_formula_sum 'Ca2 Ta4 Al2'
_cell_length_a 4.383
_cell_length_b 4.383
_cell_length_c 8.272
_cell_angle_alpha 90.00
_cell_angle_beta 90.00
_cell_angle_gamma 90.00
_symmetry_space_group_name_H-M 'I -4 m 2'
_symmetry_Int_Tables_number 119
_symmetry_space_group_name_Hall 'I -4 -2'
loop_
_atom_site_label
_atom_site_type_symbol
_atom_site_fract_x
_atom_site_fract_y
_atom_site_fract_z
Ca1 Ca 0.000 0.000 0.000
Ta1 Ta 0.000 0.000 0.500
Ta2 Ta 0.000 0.500 0.750
Al1 Al 0.000 0.500 0.250
```

(6)
TlReHg2 | PBE-GGA | relaxed

Structure (CIF):
```
data_TlReHg2
_chemical_formula_sum 'Tl4 Re4 Hg8'
_cell_length_a 7.107
_cell_length_b 7.107
_cell_length_c 7.107
_cell_angle_alpha 90.00
_cell_angle_beta 90.00
_cell_angle_gamma 90.00
_symmetry_space_group_name_H-M 'F m -3 m'
_symmetry_Int_Tables_number 225
_symmetry_space_group_name_Hall '-F 4 2 3'
loop_
_atom_site_label
_atom_site_type_symbol
_atom_site_fract_x
_atom_site_fract_y
_atom_site_fract_z
Tl1 Tl 0.000 0.000 0.000
Re1 Re 0.000 0.000 0.500
Hg1 Hg 0.250 0.250 0.250
```

Results
- polymorph energy (0 for the lowest one) (eV per formula unit) = 2.13

(7)
MgNi | PBE-GGA | relaxed

Structure (CIF):
```
data_MgNi
_chemical_formula_sum 'Mg3 Ni3'
_cell_length_a 2.8416
_cell_length_b 2.8416
_cell_length_c 12.4384
_cell_angle_alpha 90.00
_cell_angle_beta 90.00
_cell_angle_gamma 120.00
_symmetry_space_group_name_H-M 'R -3 m'
_symmetry_Int_Tables_number 166
_symmetry_space_group_name_Hall '-R 3 2"'
loop_
_atom_site_label
_atom_site_type_symbol
_atom_site_fract_x
_atom_site_fract_y
_atom_site_fract_z
Mg1 Mg 0.0000 0.0000 0.0000
Ni1 Ni 0.0000 0.0000 0.5000
```

(8)
Pr3DyTm4 | PBE-GGA | relaxed

Structure (CIF):
```
data_Pr3DyTm4
_chemical_formula_sum 'Pr6 Dy2 Tm8'
_cell_length_a 3.477
_cell_length_b 11.676
_cell_length_c 13.025
_cell_angle_alpha 90.00
_cell_angle_beta 90.00
_cell_angle_gamma 90.00
_symmetry_space_group_name_H-M 'I m m m'
_symmetry_Int_Tables_number 71
_symmetry_space_group_name_Hall '-I 2 2'
loop_
_atom_site_label
_atom_site_type_symbol
_atom_site_fract_x
_atom_site_fract_y
_atom_site_fract_z
Pr1 Pr 0.000 0.000 0.000
Pr2 Pr 0.000 0.500 0.244
Dy1 Dy 0.000 0.000 0.500
Tm1 Tm 0.000 0.245 0.365
```

Results
- polymorph energy (0 for the lowest one) (eV per formula unit) = 0.93

no.,calculated total energy (eV per atom)
1,-6.187
2,-3.079
3,-5.949
4,-6.404
5,-6.922
6,-2.721
7,-3.641
8,-4.462